*1*
The following is a PBE calculation of an optimized crystal structure of NbBiAs2Se, from Alexandria.

The structure in POSCAR format:
```
NbBiAs2Se
1.0
5.1154 0.0000 0.0000
0.0000 5.1154 0.0000
0.0000 0.0000 4.9292
Nb Bi As Se
1 1 2 1
Cartesian
0.0000 0.0000 0.0000
2.5577 2.5577 2.4646
0.0000 2.5577 0.0000
2.5577 0.0000 0.0000
0.0000 0.0000 2.4646
```

*2*
The following is a PBE calculation of an optimized crystal structure of NbBiAs2Se, from Alexandria.

The structure in POSCAR format:
```
NbBiAs2Se
1.0
5.3051 0.0000 0.0000
0.0000 5.3051 0.0000
0.0000 0.0000 5.4124
Nb Bi As Se
1 1 2 1
Cartesian
0.0000 0.0000 0.0000
2.6526 2.6526 2.7062
0.0000 2.6526 2.7062
2.6526 0.0000 2.7062
2.6526 2.6526 0.0000
```

Structures ranked by computed energy, the most stable listed first: *1*, *2*.

*1*
The following is a PBE calculation of an optimized crystal structure of NdBiAs2, from Alexandria.

The structure in POSCAR format:
```
NdBiAs2
1.0
5.0180 0.0000 0.0000
0.0000 5.0180 0.0000
0.0000 0.0000 3.9506
Nd Bi As
1 1 2
Cartesian
0.0000 0.0000 0.0000
2.5090 2.5090 0.0000
0.0000 2.5090 1.9753
2.5090 0.0000 1.9753
```

*2*
The following is a PBE calculation of an optimized crystal structure of NdBiAs2, from Alexandria.

The structure in POSCAR format:
```
NdBiAs2
1.0
2.2203 1.2819 8.3641
-2.2203 1.2819 8.3641
0.0000 -2.5637 8.3641
Nd Bi As
1 1 2
Cartesian
0.0000 0.0000 0.0000
0.0000 0.0000 12.5462
0.0000 0.0000 9.8498
0.0000 0.0000 15.2426
```

Structures ranked by computed energy, the most stable listed first: *1*, *2*.

*1*
The following is a PBE calculation of an optimized crystal structure of NiBi3As, from Alexandria.

The structure in POSCAR format:
```
NiBi3As
1.0
5.1425 0.0000 0.0000
0.0000 5.1425 0.0000
0.0000 0.0000 5.1425
Ni Bi As
1 3 1
Cartesian
0.0000 0.0000 0.0000
0.0000 0.0000 2.5712
0.0000 2.5712 0.0000
2.5712 0.0000 0.0000
2.5712 2.5712 2.5712
```

*2*
The following is a PBE calculation of an optimized crystal structure of NiBi3As, from Alexandria.

The structure in POSCAR format:
```
NiBi3As
1.0
5.4953 0.0000 0.0000
0.0000 5.4953 0.0000
0.0000 0.0000 5.4953
Ni Bi As
1 3 1
Cartesian
0.0000 0.0000 0.0000
0.0000 2.7476 2.7476
2.7476 0.0000 2.7476
2.7476 2.7476 0.0000
2.7476 2.7476 2.7476
```

Structures ranked by computed energy, the most stable listed first: *1*, *2*.